Record 1
Entry from Alexandria: a relaxed CdIrPt2Se crystal (GGA-PBE).

Formation energy (no corrections) ... 1.029 eV/atom
E_tot ... -4.039 eV per atom

Geometry as CIF:
```
data_CdIrPt2Se
_chemical_formula_sum 'Cd1 Ir1 Pt2 Se1'
_space_group_name_H-M_alt 'P 4/m m m'
_space_group_IT_number 123
_space_group_name_Hall '-P 4 2'
_cell_length_a 4.823
_cell_length_b 4.823
_cell_length_c 5.177
_cell_angle_alpha 90.00
_cell_angle_beta 90.00
_cell_angle_gamma 90.00
loop_
_atom_site_label
_atom_site_type_symbol
_atom_site_fract_x
_atom_site_fract_y
_atom_site_fract_z
Cd1 Cd 0.000 0.000 0.000
Ir1 Ir 0.000 0.000 0.500
Pt1 Pt 0.000 0.500 0.500
Se1 Se 0.500 0.500 0.000
```



Record 2
Entry from Alexandria: a relaxed ZnGaPt6 crystal (GGA-PBE).

E_form ... -0.39 eV per atom
E_tot ... -5.457 eV per atom

Geometry as CIF:
```
data_ZnGaPt6
_chemical_formula_sum 'Zn1 Ga1 Pt6'
_space_group_name_H-M_alt 'P 4/m m m'
_space_group_IT_number 123
_space_group_name_Hall '-P 4 2'
_cell_length_a 3.939
_cell_length_b 3.939
_cell_length_c 7.870
_cell_angle_alpha 90.00
_cell_angle_beta 90.00
_cell_angle_gamma 90.00
loop_
_atom_site_label
_atom_site_type_symbol
_atom_site_fract_x
_atom_site_fract_y
_atom_site_fract_z
Zn1 Zn 0.000 0.000 0.000
Ga1 Ga 0.000 0.000 0.500
Pt1 Pt 0.000 0.500 0.250
Pt2 Pt 0.500 0.500 0.000
Pt3 Pt 0.500 0.500 0.500
```



Record 3
Entry from Alexandria: a relaxed La3Sm2Ho3 crystal (GGA-PBE).

Distance to the lowest polymorph of the same formula ... 0.00 eV per formula unit
E_form ... 0.03 eV per atom
E_tot ... -4.716 eV per atom

Geometry as CIF:
```
data_La3Sm2Ho3
_chemical_formula_sum 'La6 Sm4 Ho6'
_space_group_name_H-M_alt 'I m m m'
_space_group_IT_number 71
_space_group_name_Hall '-I 2 2'
_cell_length_a 5.073
_cell_length_b 5.167
_cell_length_c 20.719
_cell_angle_alpha 90.00
_cell_angle_beta 90.00
_cell_angle_gamma 90.00
loop_
_atom_site_label
_atom_site_type_symbol
_atom_site_fract_x
_atom_site_fract_y
_atom_site_fract_z
La1 La 0.000 0.000 0.000
La2 La 0.000 0.500 0.123
Sm1 Sm 0.000 0.000 0.249
Ho1 Ho 0.000 0.000 0.500
Ho2 Ho 0.000 0.500 0.373
```